Density functional theory data (GGA-PBE) for a geometry-optimized Ba6Tl3Cd structure.

Geometry as CIF:
```
data_Ba6Tl3Cd
_chemical_formula_sum 'Ba12 Tl6 Cd2'
_cell_length_a 10.686
_cell_length_b 6.070
_cell_length_c 13.851
_cell_angle_alpha 90.00
_cell_angle_beta 109.35
_cell_angle_gamma 90.00
_space_group_name_H-M_alt 'P 1 21/m 1'
_space_group_IT_number 11
_space_group_name_Hall '-P 2yb'
loop_
_atom_site_label
_atom_site_fract_x
_atom_site_fract_y
_atom_site_fract_z
Ba1 0.021 0.250 0.410
Ba2 0.154 0.750 0.171
Ba3 0.248 0.250 0.999
Ba4 0.339 0.750 0.824
Ba5 0.374 0.250 0.351
Ba6 0.382 0.250 0.632
Tl1 0.028 0.750 0.872
Tl2 0.106 0.250 0.722
Tl3 0.272 0.750 0.472
Cd1 0.457 0.750 0.102
```

Properties
Its total energy is -45.09 eV per cell. Its energy above the lowest structure with this stoichiometry is 0.0 meV per atom.